K3NaPa3Se8 | PBE | relaxed

abc: 8.4538 8.4550 9.1448
angles: 117.54 90.00 120.00
Closest atoms and distances in Å follow each position.
Fractional positions:
1 K 0.0000 0.0000 0.0000  6 Se 3.32-3.41
2 K 0.0000 0.5000 0.0000  6 Se 3.32-3.41
3 K 0.5000 0.5000 0.0000  6 Se 3.32-3.41
4 Na 0.0000 0.0000 0.5000  6 Se 3.03
5 Pa 0.5000 0.0000 0.5000  6 Se 2.84-2.93
6 Pa 0.5000 0.5000 0.5000  6 Se 2.84-2.93
7 Pa 0.0000 0.5000 0.5000  6 Se 2.84-2.93
8 Se 0.2636 0.5273 0.2910  3 Pa 2.93
9 Se 0.7364 0.4727 0.7090  3 Pa 2.93
10 Se 0.7556 0.5112 0.2970  2 Pa 2.84, 1 Na 3.03
11 Se 0.2444 0.4888 0.7030  2 Pa 2.84, 1 Na 3.03
12 Se 0.7556 0.0414 0.2970  2 Pa 2.84, 1 Na 3.03
13 Se 0.2444 0.9586 0.7030  2 Pa 2.84, 1 Na 3.03
14 Se 0.2857 0.0414 0.2970  2 Pa 2.84, 1 Na 3.03
15 Se 0.7143 0.9586 0.7030  2 Pa 2.84, 1 Na 3.03

Computed properties:
* space group: No. 166

---

K2NaPa3Se8 | PBE | relaxed

abc: 8.4649 8.4649 9.5413
angles: 63.67 63.67 60.00
Closest atoms and distances in Å follow each position.
Fractional positions:
1 K 0.1335 0.1335 0.5994  4 Se 3.18-3.26
2 K 0.4892 0.4892 0.5325  6 Se 3.40-3.43
3 Na 0.9792 0.9792 0.0623  6 Se 2.94-3.15
4 Pa 0.4924 0.9863 0.0290  6 Se 2.81-2.89
5 Pa 0.9863 0.4924 0.0290  6 Se 2.81-2.89
6 Pa 0.4924 0.4924 0.0290  6 Se 2.81-2.89
7 Se 0.2628 0.2628 0.2116  3 Pa 2.89, 1 K 3.18
8 Se 0.7204 0.7204 0.8389  3 Pa 2.87
9 Se 0.2285 0.2285 0.8430  2 Pa 2.84, 1 Na 3.15
10 Se 0.7000 0.2285 0.8430  2 Pa 2.84, 1 Na 3.15
11 Se 0.2285 0.7000 0.8430  2 Pa 2.84, 1 Na 3.15
12 Se 0.7462 0.2871 0.2204  2 Pa 2.81, 1 Na 2.94
13 Se 0.2871 0.7462 0.2204  2 Pa 2.81, 1 Na 2.94
14 Se 0.7462 0.7462 0.2204  2 Pa 2.81, 1 Na 2.94

Computed properties:
* space group: No. 160

---

Results for energy relative to the elements, uncorrected: -1.357, -1.369 (in eV per atom, following the order of the records).
Results for electronic total energy: -81.32, -79.04 (in eV per cell, following the order of the records).